1.
Material: CaAlIO2
Method: DFT, GGA-PBE
State: relaxed

Computed properties:
**Magnetization**: 0.18 μB/cell
**Distance to the lowest polymorph of the same formula**: 965 meV per atom
**SG**: P4/mmm, No. 123
**Uncorrected formation energy**: -0.459 eV/atom
**DFT total energy**: -3.901 eV per atom

Lattice parameters (Å, degrees): 4.3920 4.3920 6.3503 90.00 90.00 90.00
Last column: nearest neighbours and their distance in Å.
Atoms (fractional coordinates):
Ca  0.0000  0.0000  0.0000  4 O 2.20
Al  0.5000  0.5000  0.5000  4 I 3.11
I  0.0000  0.0000  0.5000  4 Al 3.11, 2 Ca 3.18
O  0.0000  0.5000  0.0000  2 Ca 2.20
O  0.5000  0.0000  0.0000  2 Ca 2.20

=====

2.
Material: Hf4Nb2In
Method: DFT, GGA-PBE
State: relaxed

Computed properties:
**Magnetization**: 0.00 μB/cell
**SG**: R-3m, No. 166
**DFT total energy**: -8.401 eV per atom
**Formation enthalpy at 0 K**: 0.555 eV per atom

Lattice parameters (Å, degrees): 8.9848 8.9848 8.9848 30.45 30.45 30.45
Last column: nearest neighbours and their distance in Å.
Atoms (fractional coordinates):
Hf  0.1147  0.1147  0.1147  3 In 3.03, 3 Hf 3.09, 3 Nb 3.09
Hf  0.2753  0.2753  0.2753  4 Nb 2.72-2.98
Hf  0.7247  0.7247  0.7247  4 Nb 2.72-2.98
Hf  0.8853  0.8853  0.8853  3 In 3.03, 3 Hf 3.09, 3 Nb 3.09
Nb  0.3914  0.3914  0.3914  4 Hf 2.72-2.98, 1 In 2.79
Nb  0.6086  0.6086  0.6086  4 Hf 2.72-2.98, 1 In 2.79
In  0.5000  0.5000  0.5000  2 Nb 2.79, 6 Hf 3.03

=====

3.
Material: SmAl4Ir2Pt
Method: DFT, GGA-PBE
State: relaxed

Computed properties:
**Magnetization**: 0.00 μB/cell
**SG**: R-3m, No. 166
**DFT total energy**: -6.252 eV per atom
**Formation enthalpy at 0 K**: -0.820 eV per atom

Lattice parameters (Å, degrees): 9.1323 9.1323 9.1323 26.93 26.93 26.93
Last column: nearest neighbours and their distance in Å.
Atoms (fractional coordinates):
Sm  0.0000  0.0000  0.0000  8 Al 3.07-3.43
Al  0.1300  0.1300  0.1300  4 Ir 2.57-2.70, 3 Pt 2.64
Al  0.4030  0.4030  0.4030  1 Pt 2.56, 3 Ir 2.59
Al  0.5970  0.5970  0.5970  1 Pt 2.56, 3 Ir 2.59
Al  0.8700  0.8700  0.8700  4 Ir 2.57-2.70, 3 Pt 2.64
Ir  0.2324  0.2324  0.2324  7 Al 2.57-2.70
Ir  0.7676  0.7676  0.7676  7 Al 2.57-2.70
Pt  0.5000  0.5000  0.5000  8 Al 2.56-2.64

=====

4.
Material: ZnGa3Ag4
Method: DFT, GGA-PBE
State: relaxed

Computed properties:
**Magnetization**: 0.00 μB/cell
**Distance to the lowest polymorph of the same formula**: 0 meV per atom
**SG**: C2/m, No. 12
**DFT total energy**: -2.706 eV per atom
**Formation enthalpy at 0 K**: 0.014 eV per atom

Lattice parameters (Å, degrees): 9.6064 9.6064 3.0654 98.56 98.56 30.14
Last column: nearest neighbours and their distance in Å.
Atoms (fractional coordinates):
Zn  0.0000  0.0000  0.0000  4 Ag 2.69-2.71, 4 Ga 2.93
Ga  0.2468  0.2468  0.2460  4 Ag 2.75-2.79, 6 Ga 2.93-3.07
Ga  0.5000  0.5000  0.5000  4 Ag 2.77-2.80, 4 Zn 2.93, 2 Ga 3.07
Ga  0.7532  0.7532  0.7540  4 Ag 2.75-2.79, 6 Ga 2.93-3.07
Ag  0.1213  0.1213  0.6189  2 Zn 2.69-2.71, 2 Ga 2.75-2.78, 4 Ag 2.93-2.94
Ag  0.3732  0.3732  0.8737  4 Ga 2.76-2.80, 6 Ag 2.93-3.07
Ag  0.6268  0.6268  0.1263  4 Ga 2.76-2.80, 6 Ag 2.93-3.07
Ag  0.8787  0.8787  0.3811  2 Zn 2.69-2.71, 2 Ga 2.75-2.78, 4 Ag 2.93-2.94

=====

5.
Material: Ba2SiOsRu
Method: DFT, GGA-PBE
State: relaxed

Computed properties:
**Magnetization**: 0.67 μB/cell
**SG**: P4/mmm, No. 123
**Uncorrected formation energy**: 0.908 eV/atom
**DFT total energy**: -5.047 eV per atom

Lattice parameters (Å, degrees): 6.0979 6.0979 4.6072 90.00 90.00 90.00
Last column: nearest neighbours and their distance in Å.
Atoms (fractional coordinates):
Ba  0.0000  0.5000  0.0000  2 Os 3.05
Ba  0.5000  0.0000  0.0000  2 Os 3.05
Si  0.0000  0.0000  0.5000  8 Ba 3.82
Os  0.5000  0.5000  0.0000  2 Ru 2.30
Ru  0.5000  0.5000  0.5000  2 Os 2.30

=====

6.
Material: ZnCuCl2
Method: DFT, GGA-PBE
State: relaxed

Computed properties:
**Magnetization**: 0.00 μB/cell
**Distance to the lowest polymorph of the same formula**: 0 meV per atom
**SG**: Pm, No. 6
**Uncorrected formation energy**: -0.437 eV/atom
**DFT total energy**: -2.703 eV per atom

Lattice parameters (Å, degrees): 4.7338 3.2900 6.3535 90.00 106.99 90.00
Last column: nearest neighbours and their distance in Å.
Atoms (fractional coordinates):
Zn  0.0000  0.0000  0.0000  3 Cl 2.40-2.51, 2 Cu 2.55
Cu  0.6675  0.5000  0.1214  2 Cl 2.34, 2 Zn 2.55
Cl  0.1691  0.5000  0.7894  2 Zn 2.40, 1 Cu 2.67
Cl  0.4777  0.0000  0.3053  2 Cu 2.34, 1 Zn 2.51

=====

7.
Material: Pr2NdAg
Method: DFT, GGA-PBE
State: relaxed

Computed properties:
**Magnetization**: 0.15 μB/cell
**Distance to the lowest polymorph of the same formula**: 196 meV per atom
**SG**: Fm-3m, No. 225
**DFT total energy**: -4.201 eV per atom
**Formation enthalpy at 0 K**: 0.094 eV per atom

Lattice parameters (Å, degrees): 5.5688 5.5688 5.5688 60.00 60.00 60.00
Last column: nearest neighbours and their distance in Å.
Atoms (fractional coordinates):
Pr  0.2500  0.2500  0.2500  4 Ag 3.41, 4 Nd 3.41
Pr  0.7500  0.7500  0.7500  4 Ag 3.41, 4 Nd 3.41
Nd  0.0000  0.0000  0.0000  8 Pr 3.41
Ag  0.5000  0.5000  0.5000  8 Pr 3.41

=====

8.
Material: Ac2Sm3Dy7
Method: DFT, GGA-PBE
State: relaxed

Computed properties:
**Magnetization**: 0.00 μB/cell
**SG**: P2/m, No. 10
**DFT total energy**: -4.442 eV per atom
**Formation enthalpy at 0 K**: 0.107 eV per atom

Lattice parameters (Å, degrees): 6.4650 3.6140 17.6623 90.00 90.19 90.00
Last column: nearest neighbours and their distance in Å.
Atoms (fractional coordinates):
Ac  0.0023  0.0000  0.1752  5 Dy 3.50-3.61, 2 Ac 3.61, 4 Sm 3.68-3.75
Ac  0.9977  0.0000  0.8248  5 Dy 3.50-3.61, 2 Ac 3.61, 4 Sm 3.68-3.75
Sm  0.0000  0.0000  0.5000  10 Dy 3.54-3.70, 2 Sm 3.61
Sm  0.4962  0.5000  0.1603  2 Sm 3.61, 7 Dy 3.68-3.80, 4 Ac 3.68-3.75
Sm  0.5038  0.5000  0.8397  2 Sm 3.61, 7 Dy 3.68-3.80, 4 Ac 3.68-3.75
Dy  0.1762  0.5000  0.3403  7 Dy 3.51-3.75, 3 Sm 3.54-3.80, 2 Ac 3.61
Dy  0.2595  0.0000  0.0009  2 Dy 3.11-3.36
Dy  0.3317  0.0000  0.6613  8 Dy 3.55-3.75, 3 Sm 3.56-3.80, 1 Ac 3.61
Dy  0.5000  0.5000  0.5000  8 Dy 3.51-3.61, 4 Sm 3.70
Dy  0.6683  0.0000  0.3387  8 Dy 3.55-3.75, 3 Sm 3.56-3.80, 1 Ac 3.61
Dy  0.7405  0.0000  0.9991  2 Dy 3.11-3.36
Dy  0.8238  0.5000  0.6597  7 Dy 3.51-3.75, 3 Sm 3.54-3.80, 2 Ac 3.61